Entry 1:
An optimized crystal structure of LiHfCd2, computed with PBE.

magnetic moment: 0.000 μB per atom
VASP energy: -3.2451 eV per atom
ΔH_f (0 K): 0.18 eV per atom

abc: 3.0113 3.0113 32.9431
angles: 90.00 90.00 120.00
Space group R-3m (No. 166, hexagonal axes)
Unique sites:
Li 0.0000 0.0000 0.0000 [3 per cell]
Hf 0.0000 0.0000 0.5000 [3 per cell]
Cd 0.0000 0.0000 0.4066 [6 per cell]

***

Entry 2:
An optimized crystal structure of LiBeTl2Te, computed with PBE.

raw formation energy: 2.8 eV per formula unit
magnetic moment: 0.000 μB per atom
VASP energy: -2.1500 eV per atom

abc: 6.561 6.561 5.003
angles: 90.00 90.00 90.00
Space group P4/mmm (No. 123)
Unique sites:
Li 0.000 0.000 0.000 [1 per cell]
Be 0.500 0.500 0.000 [1 per cell]
Tl 0.000 0.500 0.500 [2 per cell]
Te 0.000 0.000 0.500 [1 per cell]